Record 1
# USi2Ir

An optimized crystal structure of USi2Ir (PBE, Alexandria via LeMat-Bulk). Values from VASP.

## Properties
E_tot = -134.18 eV per cell
Total magnetic moment = 7.2 μB per cell
Formation energy (no corrections) = -0.637 eV per atom

Structure (Quantum ESPRESSO input):
```
&SYSTEM
  ibrav = 0, nat = 16, ntyp = 3
/
ATOMIC_SPECIES
Ir 192.22 Ir.upf
Si 28.09 Si.upf
U 238.03 U.upf
CELL_PARAMETERS angstrom
4.144 0.000 -0.963
-0.935 7.398 -4.026
-0.053 0.129 9.169
ATOMIC_POSITIONS crystal
Ir 0.853 0.101 0.705
Ir 0.147 0.396 0.295
Ir 0.147 0.899 0.295
Ir 0.853 0.604 0.705
Si 0.926 0.426 0.852
Si 0.698 0.048 0.395
Si 0.074 0.574 0.148
Si 0.698 0.347 0.395
Si 0.926 0.926 0.852
Si 0.302 0.653 0.605
Si 0.302 0.952 0.605
Si 0.074 0.074 0.148
U 0.296 0.296 0.591
U 0.500 0.739 0.000
U 0.704 0.704 0.409
U 0.500 0.261 0.000
```



Record 2
# USi2Ir

An optimized crystal structure of USi2Ir (PBE, Alexandria via LeMat-Bulk). Values from VASP.

## Properties
E_tot = -30.84 eV per cell
Total magnetic moment = 0.5 μB per cell
Formation energy (no corrections) = 0.038 eV per atom

Structure (Quantum ESPRESSO input):
```
&SYSTEM
  ibrav = 0, nat = 4, ntyp = 3
/
ATOMIC_SPECIES
U 238.03 U.upf
Ir 192.22 Ir.upf
Si 28.09 Si.upf
CELL_PARAMETERS angstrom
-1.146 -2.565 -0.569
1.055 -2.351 1.254
-6.131 -0.518 7.461
ATOMIC_POSITIONS crystal
U 0.000 0.000 0.000
Ir 0.500 0.500 0.500
Si 0.900 0.900 0.299
Si 0.100 0.100 0.701
```



Record 3
# USi2Ir3

An optimized crystal structure of USi2Ir3 (PBE, Alexandria via LeMat-Bulk). Values from VASP.

## Properties
E_tot = -159.63 eV per cell
Total magnetic moment = 3.4 μB per cell
Formation energy (no corrections) = -0.749 eV per atom

Structure (Quantum ESPRESSO input):
```
&SYSTEM
  ibrav = 0, nat = 18, ntyp = 3
/
ATOMIC_SPECIES
Ir 192.22 Ir.upf
U 238.03 U.upf
Si 28.09 Si.upf
CELL_PARAMETERS angstrom
-3.188 1.195 -1.977
5.533 -1.609 -5.973
-4.460 -8.296 2.178
ATOMIC_POSITIONS crystal
Ir 0.384 0.767 0.808
Ir 0.678 0.355 0.953
Ir 0.958 0.916 0.672
Ir 0.222 0.444 0.388
Ir 0.616 0.233 0.192
Ir 0.042 0.084 0.328
Ir 0.322 0.645 0.047
Ir 0.778 0.556 0.612
Ir 0.500 0.000 0.500
U 0.840 0.681 0.300
U 0.000 0.000 0.000
U 0.160 0.319 0.700
Si 0.461 0.922 0.226
Si 0.636 0.273 0.450
Si 0.539 0.078 0.774
Si 0.364 0.727 0.550
Si 0.194 0.389 0.124
Si 0.806 0.611 0.876
```



Record 4
# USi2Ir4

An optimized crystal structure of USi2Ir4 (PBE, Alexandria via LeMat-Bulk). Values from VASP.

## Properties
E_tot = -59.42 eV per cell
Total magnetic moment = 2.0 μB per cell
Formation energy (no corrections) = -0.263 eV per atom

Structure (Quantum ESPRESSO input):
```
&SYSTEM
  ibrav = 0, nat = 7, ntyp = 3
/
ATOMIC_SPECIES
Ir 192.22 Ir.upf
Si 28.09 Si.upf
U 238.03 U.upf
CELL_PARAMETERS angstrom
2.702 -0.079 -0.935
-0.213 4.211 -0.967
-0.241 0.091 10.112
ATOMIC_POSITIONS crystal
Ir 0.938 0.133 0.266
Ir 0.802 0.274 0.547
Ir 0.198 0.726 0.453
Ir 0.062 0.867 0.734
Si 0.431 0.616 0.232
Si 0.569 0.384 0.768
U 0.000 0.000 0.000
```